## SrTl2Au9 (GGA-PBE)

Data for a relaxed structure of SrTl2Au9.

a b c (Å): 5.7009 5.7009 9.9707
angles (deg): 73.39 73.39 60.00
Positions (direct):
Au (0.4166, 0.4166, 0.2483)
Au (0.5834, 0.5834, 0.7517)
Au (0.3327, 0.3327, 0.0018)
Au (0.9184, 0.4166, 0.2483)
Au (0.5000, 0.5000, 0.5000)
Au (0.6673, 0.6673, 0.9982)
Au (0.4166, 0.9184, 0.2483)
Au (0.0816, 0.5834, 0.7517)
Au (0.5834, 0.0816, 0.7517)
Sr (0.0000, 0.0000, 0.0000)
Tl (0.8557, 0.8557, 0.4329)
Tl (0.1443, 0.1443, 0.5671)

Calculated values
Crystal system: trigonal
Space-group type: R-3m
Calculated total energy in eV/cell: -38.6
Formation enthalpy at 0 K in meV/atom: -226

=====

## HfPaSn (GGA-PBE)

Data for a relaxed structure of HfPaSn.

a b c (Å): 3.7672 3.7672 9.8317
angles (deg): 90.00 90.00 90.00
Positions (direct):
Pa (0.0000, 0.5000, 0.5635)
Pa (0.5000, 0.0000, 0.4365)
Hf (0.0000, 0.5000, 0.9164)
Hf (0.5000, 0.0000, 0.0836)
Sn (0.0000, 0.5000, 0.2320)
Sn (0.5000, 0.0000, 0.7680)

Calculated values
Crystal system: tetragonal
Space-group type: P4/nmm
Calculated total energy in eV/cell: -47.9
Formation enthalpy at 0 K in meV/atom: -158
ΔE to the lowest computed polymorph in eV/atom: 0.061

=====

## BeMoPb2 (GGA-PBE)

Data for a relaxed structure of BeMoPb2.

a b c (Å): 3.1696 3.1696 8.8847
angles (deg): 90.00 90.00 89.99
Positions (direct):
Mo (0.5000, 0.5000, 0.6765)
Pb (0.0000, 0.0000, 0.9204)
Pb (0.5000, 0.5000, 0.3355)
Be (0.0000, 0.0000, 0.5675)

Calculated values
Crystal system: tetragonal
Space-group type: P4mm
Calculated total energy in eV/cell: -20.1
Formation enthalpy at 0 K in meV/atom: 473

=====

## SmScZnCu (GGA-PBE)

Data for a relaxed structure of SmScZnCu.

a b c (Å): 4.8959 4.8959 4.8959
angles (deg): 60.00 60.00 60.00
Positions (direct):
Sc (0.5000, 0.5000, 0.5000)
Zn (0.7500, 0.7500, 0.7500)
Sm (0.0000, 0.0000, 0.0000)
Cu (0.2500, 0.2500, 0.2500)

Calculated values
Crystal system: cubic
Space-group type: F-43m
Calculated total energy in eV/cell: -17.4
Formation enthalpy at 0 K in meV/atom: -246
ΔE to the lowest computed polymorph in eV/atom: 0.019

=====

## CaAl6Rh (GGA-PBE)

Data for a relaxed structure of CaAl6Rh.

a b c (Å): 4.2366 4.2366 8.6136
angles (deg): 90.00 90.00 90.00
Positions (direct):
Al (0.5000, 0.5000, 0.8534)
Al (0.5000, 0.0000, 0.6624)
Al (0.0000, 0.5000, 0.6624)
Al (0.5000, 0.0000, 0.3376)
Al (0.0000, 0.5000, 0.3376)
Al (0.5000, 0.5000, 0.1466)
Rh (0.0000, 0.0000, 0.5000)
Ca (0.0000, 0.0000, 0.0000)

Calculated values
Crystal system: tetragonal
Space-group type: P4/mmm
Calculated total energy in eV/cell: -35.1
Formation enthalpy at 0 K in meV/atom: -413
ΔE to the lowest computed polymorph in eV/atom: 0.000

=====

- Which of these has the lowest formation enthalpy at 0 K?
  CaAl6Rh

=====

Repeat the second record exactly.
## HfPaSn (GGA-PBE)

Data for a relaxed structure of HfPaSn.

a b c (Å): 3.7672 3.7672 9.8317
angles (deg): 90.00 90.00 90.00
Positions (direct):
Pa (0.0000, 0.5000, 0.5635)
Pa (0.5000, 0.0000, 0.4365)
Hf (0.0000, 0.5000, 0.9164)
Hf (0.5000, 0.0000, 0.0836)
Sn (0.0000, 0.5000, 0.2320)
Sn (0.5000, 0.0000, 0.7680)

Calculated values
Crystal system: tetragonal
Space-group type: P4/nmm
Calculated total energy in eV/cell: -47.9
Formation enthalpy at 0 K in meV/atom: -158
ΔE to the lowest computed polymorph in eV/atom: 0.061